A plane-wave DFT calculation with GGA-PBE was carried out for an optimized crystal structure of Sm2PaSe3.

Lattice parameters (Å, degrees): 7.1123 7.1123 7.2574 99.41 99.41 120.04
Fractional coordinates of all 12 atoms:
Sm 0.0000 0.0000 0.0000
Sm 0.1618 0.8382 0.5000
Sm 0.5000 0.5000 0.5000
Sm 0.8382 0.1618 0.5000
Pa 0.3328 0.6672 0.0000
Pa 0.6672 0.3328 0.0000
Se 0.0832 0.4206 0.2491
Se 0.2562 0.2562 0.7559
Se 0.4206 0.0832 0.2491
Se 0.5794 0.9168 0.7509
Se 0.7438 0.7438 0.2441
Se 0.9168 0.5794 0.7509

Summary:
SG = C2/m, No. 12
E_form (uncorrected) = -1588 meV/atom



A plane-wave DFT calculation with GGA-PBE was carried out for an optimized crystal structure of SmPaSe.

Lattice parameters (Å, degrees): 3.6126 3.6126 14.0898 90.00 90.00 120.00
Fractional coordinates of all 6 atoms:
Sm 0.0000 0.0000 0.2012
Sm 0.0000 0.0000 0.7988
Pa 0.0000 0.0000 0.5000
Pa 0.3333 0.6667 0.0000
Se 0.3333 0.6667 0.3532
Se 0.3333 0.6667 0.6468

Summary:
SG = P-6m2, No. 187
E_form (uncorrected) = -719 meV/atom